Record 1
This record from the Alexandria database describes a geometry-optimized SiP2HO structure. The functional is PBE.

Unit cell a=4.6957 b=4.6957 c=3.2507 alpha=90.00 beta=90.00 gamma=90.00
Fractional coordinates of all 5 atoms:
P (0.0000, 0.5000, 0.0000)
P (0.5000, 0.0000, 0.0000)
Si (0.0000, 0.0000, 0.0000)
O (0.0000, 0.0000, 0.5000)
H (0.5000, 0.5000, 0.5000)

Summary:
**DOS at the Fermi energy**: 0.5040 states/eV per atom
**SG**: P4/mmm (123)
**ΔE to the lowest computed polymorph**: 0.00 kJ/mol of atoms

---

Record 2
This record from the Alexandria database describes a geometry-optimized CuSeBr2Cl structure. The functional is PBE.

Unit cell a=5.2457 b=5.2457 c=5.0498 alpha=90.00 beta=90.00 gamma=90.00
Fractional coordinates of all 5 atoms:
Cu (0.5000, 0.5000, 0.5000)
Se (0.0000, 0.0000, 0.5000)
Br (0.0000, 0.5000, 0.0000)
Br (0.5000, 0.0000, 0.0000)
Cl (0.0000, 0.0000, 0.0000)

Summary:
**Uncorrected formation energy**: 0.8481 eV per atom
**DOS at the Fermi energy**: 0.8204 states/eV per atom
**SG**: P4/mmm (123)
**ΔE to the lowest computed polymorph**: 49.39 kJ/mol of atoms

---

Record 3
This record from the Alexandria database describes a geometry-optimized Tb4Pr3DySe8 structure. The functional is PBE.

Unit cell a=8.2719 b=8.3673 c=8.2730 alpha=119.64 beta=120.00 gamma=90.00
Fractional coordinates of all 16 atoms:
Tb (0.5000, 0.0000, 0.0000)
Tb (0.5000, 0.0000, 0.5000)
Tb (0.0000, 0.0000, 0.0000)
Tb (0.0000, 0.0000, 0.5000)
Pr (0.5000, 0.5000, 0.0000)
Pr (0.5000, 0.5000, 0.5000)
Pr (0.0000, 0.5000, 0.5000)
Dy (0.0000, 0.5000, 0.0000)
Se (0.2494, 0.7599, 0.0104)
Se (0.2495, 0.7599, 0.4990)
Se (0.2447, 0.2340, 0.4894)
Se (0.7610, 0.7599, 0.0104)
Se (0.2390, 0.2401, 0.9896)
Se (0.7553, 0.7660, 0.5106)
Se (0.7505, 0.2401, 0.5010)
Se (0.7506, 0.2401, 0.9896)

Summary:
**Uncorrected formation energy**: -1.7903 eV per atom
**DOS at the Fermi energy**: 0.6210 states/eV per atom
**SG**: R-3m (166)

---

Record 4
This record from the Alexandria database describes a geometry-optimized Ho5Sb2H2 structure. The functional is PBE.

Unit cell a=5.3402 b=6.6460 c=6.4191 alpha=103.91 beta=90.00 gamma=113.69
Fractional coordinates of all 9 atoms:
Ho (0.3279, 0.6557, 0.1269)
Ho (0.6721, 0.3443, 0.8731)
Ho (0.1461, 0.2923, 0.5510)
Ho (0.8539, 0.7077, 0.4490)
Ho (0.0000, 0.0000, 0.0000)
Sb (0.4071, 0.8143, 0.6941)
Sb (0.5929, 0.1857, 0.3059)
H (0.1614, 0.3228, 0.8928)
H (0.8386, 0.6772, 0.1072)

Summary:
**Total DFT energy (no corrections)**: -42.44 eV/cell
**DOS at the Fermi energy**: 0.5763 states/eV per atom
**SG**: C2/m (12)

---

Among the records above, which one has the lowest DOS at the Fermi energy?
SiP2HO

---

Which of these has the highest DOS at the Fermi energy?
CuSeBr2Cl